1.
CdOs4Pt | PBE-GGA | relaxed

For the size of the total moment, the calculation gives 0.0 μB per cell. The value obtained for the calculated formation energy is 466 kJ/mol of formula units. As for the uncorrected energy: -47.05 eV/f.u.

The structure belongs to space group F-43m (No. 216); the cell edges are 7.348, 7.348 and 7.348 Å and the angles 90.00°, 90.00° and 90.00°. The inequivalent atoms are Cd at (0.000, 0.000, 0.000), Os at (0.124, 0.124, 0.624) and Pt at (0.250, 0.250, 0.250).

2.
Ba2AlH | PBE-GGA | relaxed

For the size of the total moment, the calculation gives 0.0 μB per cell. Its polymorph energy (0 for the lowest one) is 18.73 kJ per mole of atoms. As for the uncorrected energy: -10.39 eV/f.u.

The structure belongs to space group Fm-3m (No. 225); the cell edges are 8.081, 8.081 and 8.081 Å and the angles 90.00°, 90.00° and 90.00°. The inequivalent atoms are Ba at (0.250, 0.250, 0.250), Al at (0.000, 0.000, 0.000) and H at (0.000, 0.000, 0.500).

3.
LaH4IrAu2 | PBE-GGA | relaxed

For the size of the total moment, the calculation gives 0.0 μB per cell. As for the uncorrected energy: -36.26 eV/f.u.

The structure belongs to space group P1 (No. 1); the cell edges are 5.130, 5.143 and 5.233 Å and the angles 107.29°, 106.74° and 113.00°. The inequivalent atoms are La at (0.000, 0.000, 0.000), H at (0.061, 0.517, 0.833), H at (0.484, 0.938, 0.165), H at (0.535, 0.465, 0.500), H at (0.931, 0.069, 0.500), Ir at (0.735, 0.264, 0.499), Au at (0.247, 0.753, 0.499) and Au at (0.643, 0.357, 0.000).

4.
Sm3Er | PBE-GGA | relaxed

For the size of the total moment, the calculation gives 0.0 μB per cell. Its polymorph energy (0 for the lowest one) is 0.72 kJ per mole of atoms. The value obtained for the calculated formation energy is 9 kJ/mol of formula units. As for the uncorrected energy: -18.62 eV/f.u.

The structure belongs to space group Imm2 (No. 44); the cell edges are 3.655, 11.559 and 6.303 Å and the angles 90.00°, 90.00° and 90.00°. The inequivalent atoms are Sm at (0.000, 0.000, 0.000), Sm at (0.000, 0.248, 0.667) and Er at (0.000, 0.500, 0.998).

5.
KSr2As | PBE-GGA | relaxed

For the size of the total moment, the calculation gives 0.0 μB per cell. The value obtained for the calculated formation energy is -179 kJ/mol of formula units. As for the uncorrected energy: -10.97 eV/f.u.

The structure belongs to space group Immm (No. 71); the cell edges are 4.210, 6.229 and 14.213 Å and the angles 90.00°, 90.00° and 90.00°. The inequivalent atoms are K at (0.000, 0.000, 0.000), Sr at (0.000, 0.500, 0.155) and As at (0.000, 0.000, 0.500).

6.
Er4OsRh2 | PBE-GGA | relaxed

For the size of the total moment, the calculation gives 0.0 μB per cell. The value obtained for the calculated formation energy is -402 kJ/mol of formula units. As for the uncorrected energy: -48.35 eV/f.u.

The structure belongs to space group R-3m (No. 166, hexagonal axes); the cell edges are 4.7960, 4.7960 and 23.2503 Å and the angles 90.00°, 90.00° and 120.00°. The inequivalent atoms are Er at (0.0000, 0.0000, 0.1242), Er at (0.0000, 0.0000, 0.3747), Os at (0.0000, 0.0000, 0.0000) and Rh at (0.0000, 0.0000, 0.2500).

7.
Tm4ScZn | PBE-GGA | relaxed

For the size of the total moment, the calculation gives 0.0 μB per cell. Its polymorph energy (0 for the lowest one) is 0.00 kJ per mole of atoms. The value obtained for the calculated formation energy is -49 kJ/mol of formula units. As for the uncorrected energy: -26.00 eV/f.u.

The structure belongs to space group P4/mmm (No. 123); the cell edges are 3.466, 3.466 and 13.236 Å and the angles 90.00°, 90.00° and 90.00°. The inequivalent atoms are Tm at (0.000, 0.000, 0.135), Tm at (0.500, 0.500, 0.327), Sc at (0.000, 0.000, 0.500) and Zn at (0.500, 0.500, 0.000).

8.
Na2CrMoCl | PBE-GGA | relaxed

For the size of the total moment, the calculation gives 1.0 μB per cell. As for the raw formation energy: 29.0 kcal/mol of atoms. As for the uncorrected energy: -18.66 eV/f.u.

The structure belongs to space group P4/mmm (No. 123); the cell edges are 4.837, 4.837 and 4.673 Å and the angles 90.00°, 90.00° and 90.00°. The inequivalent atoms are Na at (0.000, 0.500, 0.000), Cr at (0.000, 0.000, 0.500), Mo at (0.500, 0.500, 0.500) and Cl at (0.500, 0.500, 0.000).

9.
Ba3Cd3Ge2 | PBE-GGA | relaxed

For the size of the total moment, the calculation gives 0.0 μB per cell. The value obtained for the calculated formation energy is -314 kJ/mol of formula units. As for the uncorrected energy: -21.00 eV/f.u.

The structure belongs to space group Cmcm (No. 63); the cell edges are 4.690, 12.819 and 18.046 Å and the angles 90.00°, 90.00° and 90.00°. The inequivalent atoms are Ba at (0.000, 0.079, 0.250), Ba at (0.000, 0.359, 0.090), Cd at (0.000, 0.081, 0.057), Cd at (0.000, 0.207, 0.750) and Ge at (0.000, 0.342, 0.614).

10.
SmCoCl | PBE-GGA | relaxed

For the size of the total moment, the calculation gives 1.5 μB per cell. As for the raw formation energy: -26.4 kcal/mol of atoms. As for the uncorrected energy: -17.11 eV/f.u.

The structure belongs to space group R-3m (No. 166, hexagonal axes); the cell edges are 3.9406, 3.9406 and 33.0475 Å and the angles 90.00°, 90.00° and 120.00°. The inequivalent atoms are Sm at (0.0000, 0.0000, 0.0581), Co at (0.0000, 0.0000, 0.3353) and Cl at (0.0000, 0.0000, 0.2218).

11.
AcPrDyMg | PBE-GGA | relaxed

For the size of the total moment, the calculation gives 0.0 μB per cell. Its polymorph energy (0 for the lowest one) is 13.33 kJ per mole of atoms. The value obtained for the calculated formation energy is 45 kJ/mol of formula units. As for the uncorrected energy: -14.62 eV/f.u.

The structure belongs to space group F-43m (No. 216); the cell edges are 8.159, 8.159 and 8.159 Å and the angles 90.00°, 90.00° and 90.00°. The inequivalent atoms are Ac at (0.000, 0.000, 0.000), Pr at (0.250, 0.250, 0.250), Dy at (0.250, 0.250, 0.750) and Mg at (0.000, 0.000, 0.500).

12.
NaCa2Te | PBE-GGA | relaxed

For the size of the total moment, the calculation gives 0.0 μB per cell. As for the raw formation energy: -13.0 kcal/mol of atoms. As for the uncorrected energy: -10.73 eV/f.u.

The structure belongs to space group R-3m (No. 166, hexagonal axes); the cell edges are 4.1888, 4.1888 and 33.4484 Å and the angles 90.00°, 90.00° and 120.00°. The inequivalent atoms are Na at (0.0000, 0.0000, 0.0000), Ca at (0.0000, 0.0000, 0.1079) and Te at (0.0000, 0.0000, 0.5000).

What did the twelfth record say?
NaCa2Te | PBE-GGA | relaxed

For the size of the total moment, the calculation gives 0.0 μB per cell. As for the raw formation energy: -13.0 kcal/mol of atoms. As for the uncorrected energy: -10.73 eV/f.u.

The structure belongs to space group R-3m (No. 166, hexagonal axes); the cell edges are 4.1888, 4.1888 and 33.4484 Å and the angles 90.00°, 90.00° and 120.00°. The inequivalent atoms are Na at (0.0000, 0.0000, 0.0000), Ca at (0.0000, 0.0000, 0.1079) and Te at (0.0000, 0.0000, 0.5000).

Q: Number 2 is which compound?
A: Ba2AlH

Q: Which of these has the lowest uncorrected energy?
A: Er4OsRh2